Entry 1:
An optimized crystal structure of Tl4I2BrF, computed with GGA-PBE.

Cell: 9.514 9.514 9.321 Å, 119.37 119.37 90.18°
Sites, in units of the cell vectors:
F 0.000 0.000 0.000
I 0.500 0.000 0.000
Tl 0.296 0.684 0.490
Tl 0.244 0.255 0.486
Tl 0.756 0.745 0.514
Tl 0.816 0.204 0.010
F 0.500 0.500 0.500
Br 0.000 0.500 0.500
Tl 0.245 0.256 0.014
Tl 0.704 0.316 0.510
Tl 0.184 0.796 0.990
I 0.500 0.000 0.500
I 0.000 0.000 0.500
I 0.500 0.500 0.000
Tl 0.755 0.744 0.986
Br 0.000 0.500 0.000

Properties
For the formation energy from raw total energies, the calculation gives -937 meV per atom. The spin magnetization comes out at 0.0 μB/f.u. The total energy is -2.951 eV per atom.


Entry 2:
An optimized crystal structure of GaPS4, computed with GGA-PBE.

Cell: 5.517 5.517 8.918 Å, 90.00 90.00 90.00°
Sites, in units of the cell vectors:
S 0.235 0.713 0.127
P 0.500 0.000 0.750
S 0.287 0.765 0.627
S 0.765 0.287 0.127
P 0.000 0.500 0.250
Ga 0.000 0.000 0.500
S 0.713 0.765 0.873
Ga 0.000 0.000 0.000
S 0.765 0.713 0.373
S 0.235 0.287 0.373
S 0.713 0.235 0.627
S 0.287 0.235 0.873

Properties
For the formation energy from raw total energies, the calculation gives -390 meV per atom. The spin magnetization comes out at 0.0 μB/f.u. The total energy is -4.548 eV per atom.


Entry 3:
An optimized crystal structure of Sr3CdPd, computed with GGA-PBE.

Cell: 8.068 9.724 9.724 Å, 76.36 89.99 89.99°
Sites, in units of the cell vectors:
Sr 0.402 0.459 0.322
Pd 0.124 0.300 0.200
Pd 0.376 0.800 0.700
Cd 0.750 0.182 0.818
Sr 0.098 0.678 0.541
Sr 0.902 0.322 0.459
Cd 0.250 0.318 0.682
Sr 0.402 0.178 0.041
Sr 0.598 0.822 0.959
Sr 0.209 0.563 0.937
Cd 0.250 0.818 0.182
Sr 0.709 0.937 0.563
Sr 0.791 0.437 0.063
Cd 0.750 0.682 0.318
Pd 0.624 0.200 0.300
Sr 0.291 0.063 0.437
Sr 0.098 0.959 0.822
Pd 0.876 0.700 0.800
Sr 0.598 0.541 0.678
Sr 0.902 0.041 0.178

Properties
Its formation energy is -0.34 eV/atom. Its energy above the most stable polymorph in this dataset is 19 meV/atom. The spin magnetization comes out at 0.0 μB/f.u. The total energy is -2.566 eV per atom.


Entry 4:
An optimized crystal structure of CaAsRu2, computed with GGA-PBE.

Cell: 4.755 4.755 5.263 Å, 73.46 73.46 38.79°
Sites, in units of the cell vectors:
Ca 0.750 0.750 0.750
Ru 0.530 0.530 0.428
As 0.250 0.250 0.250
Ru 0.970 0.970 0.072

Properties
Its formation energy is 0.01 eV/atom. The spin magnetization comes out at 0.0 μB/f.u. The total energy is -6.287 eV per atom.


Entry 5:
An optimized crystal structure of TlMoIr, computed with GGA-PBE.

Cell: 2.950 2.950 7.143 Å, 90.00 90.00 120.00°
Sites, in units of the cell vectors:
Mo 0.667 0.333 0.307
Tl 0.333 0.667 0.667
Ir 0.000 0.000 0.025

Properties
Its formation energy is 0.44 eV/atom. The spin magnetization comes out at 0.0 μB/f.u. The total energy is -6.913 eV per atom.


Entry 6:
An optimized crystal structure of Co2TcSe, computed with GGA-PBE.

Cell: 4.560 4.560 4.273 Å, 87.09 87.09 36.96°
Site moments in Bohr magnetons follow the coordinates.
Sites, in units of the cell vectors:
Se 0.750 0.750 0.750  -0.01
Co 0.981 0.981 0.018  0.83
Tc 0.250 0.250 0.250  -0.07
Co 0.519 0.519 0.482  0.83

Properties
For the formation energy from raw total energies, the calculation gives 336 meV per atom. The spin magnetization comes out at 1.5 μB/f.u. The total energy is -6.679 eV per atom.


Entry 7:
An optimized crystal structure of In2CuRh, computed with GGA-PBE.

Cell: 3.468 3.228 6.950 Å, 62.26 90.00 90.00°
Sites, in units of the cell vectors:
In 0.000 0.001 0.000
In 0.000 0.499 0.500
Cu 0.500 0.750 0.750
Rh 0.500 0.250 0.250

Properties
Its formation energy is -0.14 eV/atom. The spin magnetization comes out at 0.0 μB/f.u. The total energy is -4.376 eV per atom.


Entry 8:
An optimized crystal structure of Ba2CePaP4, computed with GGA-PBE.

Cell: 4.256 7.371 7.684 Å, 108.64 90.00 90.00°
Site moments in Bohr magnetons follow the coordinates.
Sites, in units of the cell vectors:
P 0.500 0.754 0.798  -0.01
Ce 0.000 0.000 0.000  0.55
Ba 0.500 0.000 0.500  0.01
Ba 0.000 0.500 0.500  0.01
P 0.500 0.246 0.202  -0.01
P 0.000 0.278 0.801  -0.01
Pa 0.500 0.500 0.000  0.05
P 0.000 0.722 0.199  -0.01

Properties
Its formation energy is -1.22 eV/atom. The spin magnetization comes out at 0.7 μB/f.u. The total energy is -6.331 eV per atom.